Record 1
Below is a geometry-optimized Sr3MgAu structure, with properties calculated at the GGA-PBEsol level.

Cell lengths 6.191, 6.191, 6.191 Å; angles 90.00, 90.00, 90.00 degrees
Sites, in units of the cell vectors:
Sr 0.000 0.000 0.500
Sr 0.000 0.500 0.000
Sr 0.500 0.000 0.000
Mg 0.000 0.000 0.000
Au 0.500 0.500 0.500

The calculation puts the magnetic moment at 0.0 μB per cell. The calculation puts the energy of formation from the pure elements at 9.91 kcal/mol of atoms. Its total energy is -0.066 hartree per atom. For the mass density, the calculation gives 3.39 g/cm3. Its symmetry is Pm-3m.

Record 2
Below is a geometry-optimized TaHgP3 structure, with properties calculated at the GGA-PBEsol level.

Cell lengths 4.780, 4.780, 4.780 Å; angles 90.00, 90.00, 90.00 degrees
Sites, in units of the cell vectors:
Ta 0.000 0.000 0.000
Hg 0.500 0.500 0.500
P 0.000 0.000 0.500
P 0.000 0.500 0.000
P 0.500 0.000 0.000

The calculation puts the magnetic moment at 0.0 μB per cell. The calculation puts the energy of formation from the pure elements at 8.99 kcal/mol of atoms. Its total energy is -0.210 hartree per atom. For the mass density, the calculation gives 7.21 g/cm3. Its symmetry is Pm-3m.

Record 3
Below is a geometry-optimized Mn4ReCl structure, with properties calculated at the GGA-PBEsol level.

Cell lengths 4.717, 4.717, 4.717 Å; angles 60.00, 60.00, 60.00 degrees
Sites, in units of the cell vectors:
Mn 0.125 0.125 0.125
Mn 0.125 0.125 0.625
Mn 0.125 0.625 0.125
Mn 0.625 0.125 0.125
Re 0.500 0.500 0.500
Cl 0.750 0.750 0.750

The calculation puts the magnetic moment at 5.0 μB per cell. Its total energy is -0.303 hartree per atom. For the formation energy without anion corrections, the calculation gives 0.83 eV per atom. For the mass density, the calculation gives 9.88 g/cm3. Its symmetry is F-43m.

Record 4
Below is a geometry-optimized EuBi2S4 structure, with properties calculated at the GGA-PBEsol level.

Cell lengths 11.481, 4.027, 14.396 Å; angles 90.00, 90.00, 90.00 degrees
Sites, in units of the cell vectors:
Eu 0.232 0.250 0.154
Eu 0.268 0.750 0.654
Eu 0.732 0.250 0.346
Eu 0.768 0.750 0.846
Bi 0.063 0.750 0.394
Bi 0.111 0.750 0.902
Bi 0.389 0.250 0.402
Bi 0.437 0.250 0.894
Bi 0.563 0.750 0.106
Bi 0.611 0.750 0.598
Bi 0.889 0.250 0.098
Bi 0.937 0.250 0.606
S 0.016 0.750 0.713
S 0.059 0.750 0.091
S 0.173 0.250 0.516
S 0.239 0.250 0.799
S 0.261 0.750 0.299
S 0.327 0.750 0.016
S 0.441 0.250 0.591
S 0.484 0.250 0.213
S 0.516 0.750 0.787
S 0.559 0.750 0.409
S 0.673 0.250 0.984
S 0.739 0.250 0.701
S 0.761 0.750 0.201
S 0.827 0.750 0.484
S 0.941 0.250 0.909
S 0.984 0.250 0.287

The calculation puts the magnetic moment at 27.9 μB per cell. Its total energy is -0.226 hartree per atom. For the formation energy without anion corrections, the calculation gives -0.91 eV per atom. For the mass density, the calculation gives 6.97 g/cm3. Its symmetry is Pnma.